# ScAlCu3 (PBE, optimized geometry)
# DFT formation energy in meV/atom: -204
# Total DFT energy (no corrections) in eV/atom: -4.677
# Crystal system: orthorhombic
data_ScAlCu3
_chemical_formula_sum 'Sc4 Al4 Cu12'
_symmetry_space_group_name_H-M 'I m m a'
_symmetry_Int_Tables_number 74
_symmetry_space_group_name_Hall '-I 2b 2'
_cell_length_a 4.950
_cell_length_b 6.780
_cell_length_c 9.043
_cell_angle_alpha 90.00
_cell_angle_beta 90.00
_cell_angle_gamma 90.00
loop_
_atom_site_label
_atom_site_type_symbol
_atom_site_fract_x
_atom_site_fract_y
_atom_site_fract_z
_atom_site_occupancy
Sc1 Sc 0.000 0.250 0.008 1
Al1 Al 0.000 0.000 0.500 1
Cu1 Cu 0.000 0.250 0.309 1
Cu2 Cu 0.250 0.065 0.750 1